# 1
This record from Alexandria describes a geometry-optimized TbPm6Tm2Mg structure. The functional is PBE.

abc: 8.889 8.889 9.277
angles: 92.49 92.49 116.86
Fractional positions:
Tb 0.028 0.972 0.750
Tb 0.972 0.028 0.250
Pm 0.006 0.439 0.303
Pm 0.126 0.776 0.053
Pm 0.224 0.874 0.447
Pm 0.288 0.509 0.895
Pm 0.439 0.006 0.803
Pm 0.491 0.712 0.605
Pm 0.509 0.288 0.395
Pm 0.561 0.994 0.197
Pm 0.712 0.491 0.105
Pm 0.776 0.126 0.553
Pm 0.874 0.224 0.947
Pm 0.994 0.561 0.697
Tm 0.204 0.309 0.553
Tm 0.309 0.204 0.053
Tm 0.691 0.796 0.947
Tm 0.796 0.691 0.447
Mg 0.418 0.582 0.250
Mg 0.582 0.418 0.750

## Properties
Energy of formation (eV per formula unit): 1.21

---

# 2
This record from Alexandria describes a geometry-optimized Cs3Er3PuTe8 structure. The functional is PBE.

abc: 10.455 10.455 10.455
angles: 50.52 50.52 50.52
Fractional positions:
Cs 0.000 0.500 0.500
Cs 0.500 0.000 0.500
Cs 0.500 0.500 0.000
Er 0.000 0.000 0.500
Er 0.000 0.500 0.000
Er 0.500 0.000 0.000
Pu 0.500 0.500 0.500
Te 0.227 0.730 0.730
Te 0.229 0.229 0.229
Te 0.270 0.270 0.773
Te 0.270 0.773 0.270
Te 0.730 0.227 0.730
Te 0.730 0.730 0.227
Te 0.771 0.771 0.771
Te 0.773 0.270 0.270

## Properties
Energy relative to the elements, uncorrected (eV per formula unit): -18.9

---

# 3
This record from Alexandria describes a geometry-optimized SrEuZnBiO6 structure. The functional is PBE.

abc: 5.822 5.822 5.822
angles: 60.00 60.00 60.00
Fractional positions:
Sr 0.000 0.000 0.000
Eu 0.500 0.500 0.500
Zn 0.750 0.750 0.750
Bi 0.250 0.250 0.250
O 0.504 0.504 0.996
O 0.504 0.996 0.504
O 0.504 0.996 0.996
O 0.996 0.504 0.504
O 0.996 0.504 0.996
O 0.996 0.996 0.504

## Properties
Energy relative to the elements, uncorrected (eV per formula unit): -17.0

---

# 4
This record from Alexandria describes a geometry-optimized Sr2SiIr structure. The functional is PBE.

abc: 5.019 5.019 5.019
angles: 60.00 60.00 60.00
Fractional positions:
Sr 0.000 0.000 0.000
Sr 0.250 0.250 0.250
Si 0.500 0.500 0.500
Ir 0.750 0.750 0.750

## Properties
Energy relative to the elements, uncorrected (eV per formula unit): 0.4

---

# 5
This record from Alexandria describes a geometry-optimized SrEuHg2 structure. The functional is PBE.

abc: 5.580 5.580 5.580
angles: 60.00 60.00 60.00
Fractional positions:
Sr 0.000 0.000 0.000
Eu 0.500 0.500 0.500
Hg 0.250 0.250 0.250
Hg 0.750 0.750 0.750

## Properties
Energy of formation (eV per formula unit): -2.13

---

# 6
This record from Alexandria describes a geometry-optimized UAgSnO6 structure. The functional is PBE.

abc: 5.573 5.573 9.584
angles: 90.00 90.00 120.00
Fractional positions:
U 0.333 0.667 0.250
U 0.667 0.333 0.750
Ag 0.000 0.000 0.000
Ag 0.000 0.000 0.500
Sn 0.333 0.667 0.750
Sn 0.667 0.333 0.250
O 0.000 0.356 0.136
O 0.000 0.356 0.636
O 0.000 0.644 0.364
O 0.000 0.644 0.864
O 0.356 0.000 0.136
O 0.356 0.000 0.636
O 0.356 0.356 0.364
O 0.356 0.356 0.864
O 0.644 0.000 0.364
O 0.644 0.000 0.864
O 0.644 0.644 0.136
O 0.644 0.644 0.636

## Properties
Energy relative to the elements, uncorrected (eV per formula unit): -15.6

---

# 7
This record from Alexandria describes a geometry-optimized LiCaPr structure. The functional is PBE.

abc: 3.728 3.728 16.872
angles: 90.01 90.01 60.02
Fractional positions:
Li 0.000 0.000 0.000
Li 0.667 0.667 0.124
Ca 0.333 0.333 0.286
Ca 0.333 0.333 0.838
Pr 0.666 0.666 0.649
Pr 0.999 0.999 0.475

## Properties
Energy of formation (eV per formula unit): 0.21
Energy above the most stable polymorph in this dataset (meV/atom): 44.9

---

# 8
This record from Alexandria describes a geometry-optimized Na2GaTcO4 structure. The functional is PBE.

abc: 5.212 5.212 5.212
angles: 112.27 112.27 104.01
Fractional positions:
Na 0.000 0.000 0.000
Na 0.750 0.250 0.500
Ga 0.250 0.750 0.500
Tc 0.500 0.500 0.000
O 0.266 0.416 0.555
O 0.289 0.734 0.150
O 0.584 0.139 0.850
O 0.861 0.711 0.445

## Properties
Energy relative to the elements, uncorrected (eV per formula unit): -11.0

---

# 9
This record from Alexandria describes a geometry-optimized Hg2Se structure. The functional is PBE.

abc: 4.936 4.936 4.936
angles: 60.00 60.00 60.00
Fractional positions:
Hg 0.250 0.250 0.250
Hg 0.750 0.750 0.750
Se 0.000 0.000 0.000

## Properties
Energy relative to the elements, uncorrected (eV per formula unit): 0.3
Energy above the most stable polymorph in this dataset (meV/atom): 197.2

---

# 10
This record from Alexandria describes a geometry-optimized Pm2TiS4 structure. The functional is PBE.

abc: 6.876 6.876 7.211
angles: 118.43 118.43 32.98
Fractional positions:
Pm 0.215 0.215 0.207
Pm 0.785 0.785 0.793
Ti 0.500 0.500 0.500
S 0.129 0.129 0.505
S 0.396 0.396 0.104
S 0.604 0.604 0.896
S 0.871 0.871 0.495

## Properties
Energy relative to the elements, uncorrected (eV per formula unit): -12.0

---

# 11
This record from Alexandria describes a geometry-optimized FeBiAsSe2 structure. The functional is PBE.

abc: 5.455 5.455 5.432
angles: 90.00 90.00 90.00
Fractional positions:
Fe 0.000 0.000 0.000
Bi 0.500 0.500 0.500
As 0.500 0.500 0.000
Se 0.000 0.500 0.500
Se 0.500 0.000 0.500

## Properties
Energy relative to the elements, uncorrected (eV per formula unit): 5.9
Energy above the most stable polymorph in this dataset (meV/atom): 919.9

---

# 12
This record from Alexandria describes a geometry-optimized ScAlN2 structure. The functional is PBE.

abc: 5.632 5.632 5.632
angles: 130.73 130.73 72.25
Fractional positions:
Sc 0.000 0.000 0.000
Sc 0.750 0.250 0.500
Al 0.250 0.750 0.500
Al 0.500 0.500 0.000
N 0.158 0.625 0.033
N 0.375 0.408 0.533
N 0.592 0.125 0.967
N 0.875 0.842 0.467

## Properties
Energy relative to the elements, uncorrected (eV per formula unit): -5.7

---

# 13
This record from Alexandria describes a geometry-optimized Cd2AgPd structure. The functional is PBE.

abc: 4.356 4.356 3.869
angles: 90.00 90.00 90.00
Fractional positions:
Cd 0.000 0.500 0.000
Cd 0.500 0.000 0.000
Ag 0.000 0.000 0.500
Pd 0.500 0.500 0.500

## Properties
Energy of formation (eV per formula unit): -0.89

---

# 14
This record from Alexandria describes a geometry-optimized Mn2FeHIr structure. The functional is PBE.

abc: 3.683 3.683 3.805
angles: 90.00 90.00 90.00
Fractional positions:
Mn 0.000 0.500 0.000
Mn 0.500 0.000 0.000
Fe 0.000 0.000 0.500
H 0.500 0.500 0.000
Ir 0.500 0.500 0.500

## Properties
Energy above the most stable polymorph in this dataset (meV/atom): 22.3

---

# 15
This record from Alexandria describes a geometry-optimized Cs3Y3NpO8 structure. The functional is PBE.

abc: 8.106 8.106 8.106
angles: 51.67 51.67 51.67
Fractional positions:
Cs 0.000 0.500 0.500
Cs 0.500 0.000 0.500
Cs 0.500 0.500 0.000
Y 0.000 0.000 0.500
Y 0.000 0.500 0.000
Y 0.500 0.000 0.000
Np 0.500 0.500 0.500
O 0.219 0.219 0.219
O 0.230 0.713 0.713
O 0.287 0.287 0.770
O 0.287 0.770 0.287
O 0.713 0.230 0.713
O 0.713 0.713 0.230
O 0.770 0.287 0.287
O 0.781 0.781 0.781

## Properties
Energy relative to the elements, uncorrected (eV per formula unit): -40.7

---

# 16
This record from Alexandria describes a geometry-optimized Ba3Li2In2Pb4 structure. The functional is PBE.

abc: 5.177 5.177 16.532
angles: 90.00 90.00 120.00
Fractional positions:
Ba 0.000 0.000 0.000
Ba 0.000 0.000 0.291
Ba 0.000 0.000 0.709
Li 0.333 0.667 0.562
Li 0.667 0.333 0.438
In 0.333 0.667 0.183
In 0.667 0.333 0.817
Pb 0.333 0.667 0.395
Pb 0.333 0.667 0.876
Pb 0.667 0.333 0.124
Pb 0.667 0.333 0.605

## Properties
Energy of formation (eV per formula unit): -3.54

---

# 17
This record from Alexandria describes a geometry-optimized Ca2Sb3Rh4Pb structure. The functional is PBE.

abc: 4.453 4.453 11.100
angles: 90.00 90.00 90.00
Fractional positions:
Ca 0.000 0.500 0.243
Ca 0.500 0.000 0.757
Sb 0.000 0.500 0.871
Sb 0.500 0.000 0.129
Sb 0.500 0.500 0.500
Rh 0.000 0.000 0.000
Rh 0.000 0.500 0.640
Rh 0.500 0.000 0.360
Rh 0.500 0.500 0.000
Pb 0.000 0.000 0.500

## Properties
Energy relative to the elements, uncorrected (eV per formula unit): -5.8

---

# 18
This record from Alexandria describes a geometry-optimized Na2TmTl5 structure. The functional is PBE.

abc: 8.698 8.698 8.698
angles: 122.18 122.18 86.27
Fractional positions:
Na 0.148 0.648 0.795
Na 0.352 0.148 0.500
Na 0.648 0.852 0.500
Na 0.852 0.352 0.205
Tm 0.250 0.250 0.000
Tm 0.750 0.750 0.000
Tl 0.000 0.000 0.000
Tl 0.016 0.815 0.500
Tl 0.185 0.685 0.201
Tl 0.315 0.516 0.500
Tl 0.484 0.984 0.799
Tl 0.500 0.500 0.000
Tl 0.516 0.016 0.201
Tl 0.685 0.484 0.500
Tl 0.815 0.315 0.799
Tl 0.984 0.185 0.500

## Properties
Energy of formation (eV per formula unit): -0.59
Energy above the most stable polymorph in this dataset (meV/atom): 64.9

---

# 19
This record from Alexandria describes a geometry-optimized MnIrOs2 structure. The functional is PBE.

abc: 2.714 3.791 5.393
angles: 90.00 90.00 90.00
Fractional positions:
Mn 0.000 0.000 0.000
Ir 0.500 0.500 0.758
Os 0.000 0.000 0.491
Os 0.500 0.500 0.250

## Properties
Energy of formation (eV per formula unit): 0.06
Energy above the most stable polymorph in this dataset (meV/atom): 17.0

---

# 20
This record from Alexandria describes a geometry-optimized InSbTe2Ru structure. The functional is PBE.

abc: 5.441 5.441 4.987
angles: 90.00 90.00 90.00
Fractional positions:
In 0.000 0.000 0.000
Sb 0.500 0.500 0.000
Te 0.000 0.500 0.500
Te 0.500 0.000 0.500
Ru 0.500 0.500 0.500

## Properties
Energy relative to the elements, uncorrected (eV per formula unit): 1.6
Energy above the most stable polymorph in this dataset (meV/atom): 0.0

---

# 21
This record from Alexandria describes a geometry-optimized Cd2CoRh structure. The functional is PBE.

abc: 2.942 2.942 7.721
angles: 90.00 90.00 90.00
Fractional positions:
Cd 0.000 0.000 0.000
Cd 0.500 0.500 0.318
Co 0.000 0.000 0.558
Rh 0.500 0.500 0.744

## Properties
Energy of formation (eV per formula unit): 0.26

---

# 22
This record from Alexandria describes a geometry-optimized AlRh3Br structure. The functional is PBE.

abc: 4.586 4.586 4.586
angles: 90.00 90.00 90.00
Fractional positions:
Al 0.000 0.000 0.000
Rh 0.000 0.000 0.500
Rh 0.000 0.500 0.000
Rh 0.500 0.000 0.000
Br 0.500 0.500 0.500

## Properties
Energy relative to the elements, uncorrected (eV per formula unit): 3.9
Energy above the most stable polymorph in this dataset (meV/atom): 0.0

---

# 23
This record from Alexandria describes a geometry-optimized ScTcPt2 structure. The functional is PBE.

abc: 4.908 4.908 4.908
angles: 99.65 99.65 33.72
Fractional positions:
Sc 0.000 0.000 0.000
Tc 0.500 0.500 0.500
Pt 0.245 0.245 0.740
Pt 0.755 0.755 0.260

## Properties
Energy of formation (eV per formula unit): -1.61
Energy above the most stable polymorph in this dataset (meV/atom): 231.9

---

# 24
This record from Alexandria describes a geometry-optimized CaNdZnRh structure. The functional is PBE.

abc: 4.185 5.996 5.996
angles: 40.21 90.00 90.00
Fractional positions:
Ca 0.000 0.000 0.000
Nd 0.500 0.719 0.719
Zn 0.500 0.422 0.422
Rh 0.000 0.280 0.280

## Properties
Energy of formation (eV per formula unit): -1.92
Energy above the most stable polymorph in this dataset (meV/atom): 0.0

---

# 25
This record from Alexandria describes a geometry-optimized AlOsAu3 structure. The functional is PBE.

abc: 4.669 4.669 4.669
angles: 90.00 90.00 90.00
Fractional positions:
Al 0.000 0.000 0.000
Os 0.500 0.500 0.500
Au 0.000 0.000 0.500
Au 0.000 0.500 0.000
Au 0.500 0.000 0.000

## Properties
Energy of formation (eV per formula unit): 6.14
Energy above the most stable polymorph in this dataset (meV/atom): 41.4